1.
Compound: KBPd2
Source: the Alexandria database
Functional: PBE
Structure: relaxed

Calculated values
Its energy relative to the elements is 0.10 eV/atom. Its total magnetization is 0.0 Bohr magnetons per cell. As for the uncorrected energy: -4.437 eV per atom. Its volume is 23.277 Å³/atom.

Cell: 5.556 5.556 12.065 Å, 90.00 90.00 90.00°
Space group I-42d (No. 122)
Unique sites:
K 0.000 0.000 0.000
B 0.000 0.000 0.500
Pd 0.002 0.750 0.625

2.
Compound: Zn2InIr
Source: the Alexandria database
Functional: PBE
Structure: relaxed

Calculated values
Its energy relative to the elements is -0.05 eV/atom. Its total magnetization is 0.0 Bohr magnetons per cell. As for the uncorrected energy: -3.591 eV per atom. Its volume is 16.810 Å³/atom.

Cell: 3.077 4.266 5.320 Å, 90.00 105.68 90.00°
Space group Pm (No. 6)
Unique sites:
Zn 0.000 0.000 0.000
Zn 0.421 0.500 0.831
In 0.695 0.500 0.354
Ir 0.284 0.000 0.551

3.
Compound: TiCdPb2
Source: the Alexandria database
Functional: PBE
Structure: relaxed

Calculated values
Its energy relative to the elements is 0.42 eV/atom. Its total magnetization is 1.0 Bohr magnetons per cell. As for the uncorrected energy: -3.641 eV per atom. Its volume is 26.663 Å³/atom.

Cell: 3.2507 3.2507 34.9638 Å, 90.00 90.00 120.00°
Space group R-3m (No. 166, hexagonal axes)
Unique sites:
Ti 0.0000 0.0000 0.0000
Cd 0.0000 0.0000 0.5000
Pb 0.0000 0.0000 0.0826

4.
Compound: NpAl2Pd5
Source: the Alexandria database
Functional: PBE
Structure: relaxed

Calculated values
Its energy relative to the elements is -0.68 eV/atom. Its total magnetization is 7.3 Bohr magnetons per cell. As for the uncorrected energy: -6.475 eV per atom. Its volume is 16.334 Å³/atom.

Cell: 4.168 4.168 15.042 Å, 90.00 90.00 90.00°
Space group I4/mmm (No. 139)
Unique sites:
Np 0.000 0.000 0.000
Al 0.000 0.000 0.253
Pd 0.000 0.000 0.500
Pd 0.000 0.500 0.145

5.
Compound: Li5CdSi
Source: the Alexandria database
Functional: PBE
Structure: relaxed

Calculated values
Its total magnetization is 0.0 Bohr magnetons per cell. As for the uncorrected energy: -2.368 eV per atom. Its volume is 18.412 Å³/atom. The uncorrected formation energy is -0.10 eV per atom.

Cell: 4.225 4.225 7.220 Å, 90.00 90.00 90.00°
Space group P4/mmm (No. 123)
Unique sites:
Li 0.000 0.000 0.000
Li 0.000 0.500 0.225
Cd 0.000 0.000 0.500
Si 0.500 0.500 0.000

6.
Compound: CeHoEr
Source: the Alexandria database
Functional: PBE
Structure: relaxed

Calculated values
Its excess energy over the best structure of this formula in the dataset is 11 meV per atom. Its energy relative to the elements is 0.07 eV/atom. Its total magnetization is 1.4 Bohr magnetons per cell. As for the uncorrected energy: -4.952 eV per atom. Its volume is 30.393 Å³/atom.

Cell: 3.503 3.503 14.863 Å, 90.00 90.00 90.00°
Space group I4mm (No. 107)
Unique sites:
Ce 0.000 0.000 0.000
Ho 0.000 0.000 0.665
Er 0.000 0.000 0.336

7.
Compound: MgReRu2
Source: the Alexandria database
Functional: PBE
Structure: relaxed

Calculated values
Its energy relative to the elements is 0.41 eV/atom. Its total magnetization is 1.0 Bohr magnetons per cell. As for the uncorrected energy: -7.738 eV per atom. Its volume is 14.742 Å³/atom.

Cell: 6.179 6.179 6.179 Å, 90.00 90.00 90.00°
Space group F-43m (No. 216)
Unique sites:
Mg 0.000 0.000 0.000
Re 0.250 0.250 0.750
Ru 0.000 0.000 0.500
Ru 0.250 0.250 0.250

8.
Compound: SiSeBr
Source: the Alexandria database
Functional: PBE
Structure: relaxed

Calculated values
Its excess energy over the best structure of this formula in the dataset is 774 meV per atom. Its total magnetization is 0.0 Bohr magnetons per cell. As for the uncorrected energy: -3.286 eV per atom. Its volume is 24.759 Å³/atom. The uncorrected formation energy is 0.24 eV per atom.

Cell: 3.307 3.307 13.585 Å, 90.00 90.00 90.00°
Space group I4mm (No. 107)
Unique sites:
Si 0.000 0.000 0.000
Se 0.000 0.000 0.590
Br 0.000 0.000 0.338

9.
Compound: Ti4SnRh
Source: the Alexandria database
Functional: PBE
Structure: relaxed

Calculated values
Its energy relative to the elements is -0.13 eV/atom. Its total magnetization is 0.0 Bohr magnetons per cell. As for the uncorrected energy: -7.289 eV per atom. Its volume is 18.696 Å³/atom.

Cell: 13.766 5.022 6.653 Å, 90.00 102.67 90.00°
Space group C2/c (No. 15)
Unique sites:
Ti 0.075 0.120 0.431
Ti 0.174 0.346 0.126
Sn 0.000 0.383 0.750
Rh 0.250 0.250 0.500

10.
Compound: Hf2MgAg2
Source: the Alexandria database
Functional: PBE
Structure: relaxed

Calculated values
Its excess energy over the best structure of this formula in the dataset is 138 meV per atom. Its energy relative to the elements is 0.24 eV/atom. Its total magnetization is 0.0 Bohr magnetons per cell. As for the uncorrected energy: -5.205 eV per atom. Its volume is 21.269 Å³/atom.

Cell: 8.502 8.502 2.943 Å, 90.00 90.00 90.00°
Space group P4/mbm (No. 127)
Unique sites:
Hf 0.125 0.375 0.000
Mg 0.000 0.000 0.000
Ag 0.171 0.671 0.500

11.
Compound: Y4Er8Th3
Source: the Alexandria database
Functional: PBE
Structure: relaxed

Calculated values
Its energy relative to the elements is 0.44 eV/atom. Its total magnetization is 0.0 Bohr magnetons per cell. As for the uncorrected energy: -5.205 eV per atom. Its volume is 32.937 Å³/atom.

Cell: 13.239 12.857 6.712 Å, 90.00 120.12 90.00°
Space group C2/m (No. 12)
Unique sites:
Y 0.000 0.000 0.000
Y 0.000 0.500 0.500
Y 0.250 0.250 0.000
Er 0.000 0.141 0.500
Er 0.000 0.245 0.000
Er 0.233 0.000 0.501
Er 0.237 0.000 0.980
Th 0.000 0.500 0.000
Th 0.250 0.250 0.500

12.
Compound: K2PaTeSe2
Source: the Alexandria database
Functional: PBE
Structure: relaxed

Calculated values
Its total magnetization is 1.0 Bohr magnetons per cell. As for the uncorrected energy: -4.733 eV per atom. Its volume is 34.216 Å³/atom. The uncorrected formation energy is -1.10 eV per atom.

Cell: 5.622 5.622 6.494 Å, 90.00 90.00 90.00°
Space group P4/mmm (No. 123)
Unique sites:
K 0.000 0.000 0.236
Pa 0.500 0.500 0.500
Te 0.500 0.500 0.000
Se 0.000 0.500 0.500

13.
Compound: Ta3ReI
Source: the Alexandria database
Functional: PBE
Structure: relaxed

Calculated values
Its excess energy over the best structure of this formula in the dataset is 0 meV per atom. Its total magnetization is 0.0 Bohr magnetons per cell. As for the uncorrected energy: -8.501 eV per atom. Its volume is 24.120 Å³/atom. The uncorrected formation energy is 1.41 eV per atom.

Cell: 4.941 4.941 4.941 Å, 90.00 90.00 90.00°
Space group Pm-3m (No. 221)
Unique sites:
Ta 0.000 0.000 0.500
Re 0.000 0.000 0.000
I 0.500 0.500 0.500

14.
Compound: CaZn3Ga3
Source: the Alexandria database
Functional: PBE
Structure: relaxed

Calculated values
Its excess energy over the best structure of this formula in the dataset is 0 meV per atom. Its energy relative to the elements is 0.10 eV/atom. Its total magnetization is 0.0 Bohr magnetons per cell. As for the uncorrected energy: -2.028 eV per atom. Its volume is 24.518 Å³/atom.

Cell: 7.002 7.002 7.002 Å, 90.00 90.00 90.00°
Space group Pm-3n (No. 223)
Unique sites:
Ca 0.000 0.000 0.000
Zn 0.000 0.250 0.500
Ga 0.000 0.500 0.250

15.
Compound: RbHg3Pd
Source: the Alexandria database
Functional: PBE
Structure: relaxed

Calculated values
Its excess energy over the best structure of this formula in the dataset is 113 meV per atom. Its energy relative to the elements is -0.14 eV/atom. Its total magnetization is 0.0 Bohr magnetons per cell. As for the uncorrected energy: -1.556 eV per atom. Its volume is 35.133 Å³/atom.

Cell: 6.291 6.291 17.752 Å, 90.00 90.00 90.00°
Space group I-4m2 (No. 119)
Unique sites:
Rb 0.000 0.000 0.168
Hg 0.000 0.239 0.371
Hg 0.000 0.500 0.535
Pd 0.000 0.000 0.500
Pd 0.000 0.500 0.250

16.
Compound: SrOs3
Source: the Alexandria database
Functional: PBE
Structure: relaxed

Calculated values
Its energy relative to the elements is 1.28 eV/atom. Its total magnetization is 0.0 Bohr magnetons per cell. As for the uncorrected energy: -7.564 eV per atom. Its volume is 17.263 Å³/atom.

Cell: 4.396 4.396 7.146 Å, 90.00 90.00 90.00°
Space group I4/mmm (No. 139)
Unique sites:
Sr 0.000 0.000 0.000
Os 0.000 0.000 0.500
Os 0.000 0.500 0.250

17.
Compound: La2RuBr
Source: the Alexandria database
Functional: PBE
Structure: relaxed

Calculated values
Its excess energy over the best structure of this formula in the dataset is 382 meV per atom. Its total magnetization is 0.0 Bohr magnetons per cell. As for the uncorrected energy: -5.728 eV per atom. Its volume is 24.804 Å³/atom. The uncorrected formation energy is -0.53 eV per atom.

Cell: 5.297 5.297 3.536 Å, 90.00 90.00 90.00°
Space group P4/mmm (No. 123)
Unique sites:
La 0.000 0.500 0.000
Ru 0.000 0.000 0.500
Br 0.500 0.500 0.500

18.
Compound: HgTe2P
Source: the Alexandria database
Functional: PBE
Structure: relaxed

Calculated values
Its excess energy over the best structure of this formula in the dataset is 358 meV per atom. Its total magnetization is 0.0 Bohr magnetons per cell. As for the uncorrected energy: -2.515 eV per atom. Its volume is 35.032 Å³/atom. The uncorrected formation energy is 0.48 eV per atom.

Cell: 4.4296 4.4296 24.7388 Å, 90.00 90.00 120.00°
Space group R-3m (No. 166, hexagonal axes)
Unique sites:
Hg 0.0000 0.0000 0.0000
Te 0.0000 0.0000 0.4010
P 0.0000 0.0000 0.5000

19.
Compound: GaNiPt4
Source: the Alexandria database
Functional: PBE
Structure: relaxed

Calculated values
Its excess energy over the best structure of this formula in the dataset is 284 meV per atom. Its energy relative to the elements is -0.04 eV/atom. Its total magnetization is 4.8 Bohr magnetons per cell. As for the uncorrected energy: -5.538 eV per atom. Its volume is 17.221 Å³/atom.

Cell: 4.383 17.598 5.358 Å, 90.00 90.00 90.00°
Space group Cmcm (No. 63)
Unique sites:
Ga 0.000 0.072 0.250
Ni 0.000 0.346 0.250
Pt 0.000 0.066 0.750
Pt 0.000 0.203 0.501
Pt 0.000 0.350 0.750

20.
Compound: Hg2BPbI
Source: the Alexandria database
Functional: PBE
Structure: relaxed

Calculated values
Its total magnetization is 2.0 Bohr magnetons per cell. As for the uncorrected energy: -1.076 eV per atom. Its volume is 67.118 Å³/atom. The uncorrected formation energy is 1.43 eV per atom.

Cell: 7.383 7.383 6.157 Å, 90.00 90.00 90.00°
Space group P4/mmm (No. 123)
Unique sites:
Hg 0.000 0.500 0.000
B 0.000 0.000 0.500
Pb 0.500 0.500 0.500
I 0.500 0.500 0.000